#1
Material: TmCdInAu
Method: DFT, PBE-GGA
State: optimized geometry

Properties
SG: P4/nmm (129)
Size of the total moment, μB/f.u.: 0.00

Lattice parameters (Å, degrees): 4.0098 4.0098 11.9567 90.00 90.00 90.00
Fractional positions:
Tm  0.2500  0.2500  0.1718
Tm  0.7500  0.7500  0.8282
Cd  0.2500  0.7500  0.5000
Cd  0.7500  0.2500  0.5000
In  0.2500  0.2500  0.6887
In  0.7500  0.7500  0.3113
Au  0.2500  0.2500  0.9312
Au  0.7500  0.7500  0.0688



#2
Material: TmCdInAu
Method: DFT, PBE-GGA
State: optimized geometry

Properties
SG: F-43m (216)
Size of the total moment, μB/f.u.: 0.00

Lattice parameters (Å, degrees): 4.9924 4.9924 4.9924 60.00 60.00 60.00
Fractional positions:
Tm  0.0000  0.0000  0.0000
Cd  0.7500  0.7500  0.7500
In  0.5000  0.5000  0.5000
Au  0.2500  0.2500  0.2500



Bottom line: #2, by a margin of 123 meV per atom.



#1
Material: CdIrAu
Method: DFT, PBE-GGA
State: optimized geometry

Properties
SG: F-43m (216)
Size of the total moment, μB/f.u.: 0.00

Lattice parameters (Å, degrees): 4.4557 4.4557 4.4557 60.00 60.00 60.00
Fractional positions:
Cd  0.0000  0.0000  0.0000
Ir  0.2500  0.2500  0.2500
Au  0.5000  0.5000  0.5000



#2
Material: CdIrAu
Method: DFT, PBE-GGA
State: optimized geometry

Properties
SG: I4mm (107)
Size of the total moment, μB/f.u.: 0.00

Lattice parameters (Å, degrees): 6.4625 6.4625 6.4625 153.90 153.90 37.25
Fractional positions:
Cd  0.0000  0.0000  0.0000
Ir  0.3388  0.3388  0.0000
Au  0.6780  0.6780  0.0000



#3
Material: CdIrAu
Method: DFT, PBE-GGA
State: optimized geometry

Properties
SG: P3m1 (156)
Size of the total moment, μB/f.u.: 0.00

Lattice parameters (Å, degrees): 2.9157 2.9157 7.0233 90.00 90.00 120.00
Fractional positions:
Cd  0.0000  0.0000  0.0000
Ir  0.6667  0.3333  0.3235
Au  0.3333  0.6667  0.6535



Bottom line: #3, by a margin of 19 meV per atom.



#1
Material: CdIrAu3
Method: DFT, PBE-GGA
State: optimized geometry

Properties
SG: Pm-3m (221)
Size of the total moment, μB/f.u.: 0.74

Lattice parameters (Å, degrees): 5.0046 5.0046 5.0046 90.00 90.00 90.00
Fractional positions:
Cd  0.0000  0.0000  0.0000
Ir  0.5000  0.5000  0.5000
Au  0.0000  0.0000  0.5000
Au  0.0000  0.5000  0.0000
Au  0.5000  0.0000  0.0000



#2
Material: CdIrAu3
Method: DFT, PBE-GGA
State: optimized geometry

Properties
SG: Pm-3m (221)
Size of the total moment, μB/f.u.: 0.00

Lattice parameters (Å, degrees): 5.0525 5.0525 5.0525 90.00 90.00 90.00
Fractional positions:
Cd  0.0000  0.0000  0.0000
Ir  0.5000  0.5000  0.5000
Au  0.0000  0.5000  0.5000
Au  0.5000  0.0000  0.5000
Au  0.5000  0.5000  0.0000



Bottom line: #2, by a margin of 671 meV per atom.